# 1
AgSeS4 after structural relaxation, computed with PBE.

Cell lengths 4.6557, 6.8386, 10.0984 Å; angles 71.32, 77.60, 76.17 degrees
Last column: nearest neighbours and their distance in Å.
Space group P-1 (No. 2)
Symmetry-distinct sites (fractional):
Ag (0.1375, 0.1333, 0.2515) x2  4 S 2.57-2.59
Se (0.3853, 0.3762, 0.7459) x2  4 S 2.48-2.58
S (0.0771, 0.5105, 0.0833) x2  1 S 2.02
S (0.1789, 0.7511, 0.4150) x2  1 S 2.05
S (0.3419, 0.7444, 0.5896) x2  1 S 2.05
S (0.4157, 0.0043, 0.9145) x2  1 S 2.02


# 2
Ag6Se2S after structural relaxation, computed with PBE.

Cell lengths 10.7505, 13.8245, 6.1107 Å; angles 90.00, 100.98, 90.00 degrees
Last column: nearest neighbours and their distance in Å.
Space group C2/c (No. 15)
Symmetry-distinct sites (fractional):
Ag (0.1243, 0.0048, 0.4030) x8  2 Se 2.60-2.64
Ag (0.1487, 0.3729, 0.5657) x8  1 S 2.42, 1 Se 2.55
Ag (0.1569, 0.3645, 0.0569) x8  1 S 2.44, 1 Se 2.60
Se (0.1505, 0.1521, 0.1403) x8  4 Ag 2.55-2.64
S (0.0000, 0.4350, 0.2500) x4  4 Ag 2.42-2.44

- energy above the most stable polymorph in this dataset (eV/atom) = 0.000


# 3
Ag7Se2S2 after structural relaxation, computed with PBE.

Cell lengths 8.7876, 8.1786, 6.8081 Å; angles 90.00, 90.13, 90.00 degrees
Last column: nearest neighbours and their distance in Å.
Space group C2/m (No. 12)
Symmetry-distinct sites (fractional):
Ag (0.0000, 0.0000, 0.0000) x2  2 Se 2.49
Ag (0.9996, 0.5000, 0.2947) x4  2 S 2.62, 2 Se 2.76-2.77, 1 Ag 2.80
Ag (0.2494, 0.2496, 0.2766) x8  2 S 2.68, 2 Se 2.79-2.80
Se (0.2164, 0.5000, 0.0006) x4  3 Ag 2.49-2.77
S (0.0000, 0.2284, 0.5000) x4  6 Ag 2.62-2.68

- energy above the most stable polymorph in this dataset (eV/atom) = 0.058


# 4
AgSeS6 after structural relaxation, computed with PBE.

Cell lengths 4.2031, 5.7872, 8.8820 Å; angles 89.35, 89.76, 83.93 degrees
Last column: nearest neighbours and their distance in Å.
Space group P-1 (No. 2)
Symmetry-distinct sites (fractional):
Ag (0.0000, 0.0000, 0.0000) x1  2 S 2.54
Se (0.0000, 0.5000, 0.0000) x1  2 S 2.42
S (0.0852, 0.5228, 0.2679) x2  1 S 2.02
S (0.3243, 0.2282, 0.3503) x2  2 S 1.99-2.02
S (0.4425, 0.9906, 0.1943) x2  1 S 1.99


| no. | formation energy without anion corrections (eV per formula unit) | raw total energy (eV/atom) |
| --- | --- | --- |
| 1 | 0.666 | -3.697 |
| 2 | -0.302 | -3.167 |
| 3 | 0.387 | -3.163 |
| 4 | 1.151 | -3.744 |